[1]
## RbS2ICl (PBE)

Data for a relaxed structure of RbS2ICl.

raw formation energy = -0.184 eV per atom
total moment = 0.000 μB per atom

a = 5.213 Å, b = 5.213 Å, c = 5.671 Å
α = 90.00°, β = 90.00°, γ = 90.00°
Sites, in units of the cell vectors:
Cl  0.000  0.000  0.500
S  0.000  0.500  0.000
S  0.500  0.000  0.000
Rb  0.500  0.500  0.500
I  0.000  0.000  0.000

***

[2]
## Na4Nd3TmS8 (PBE)

Data for a relaxed structure of Na4Nd3TmS8.

raw formation energy = -1.803 eV per atom
total moment = 0.000 μB per atom

a = 8.168 Å, b = 8.189 Å, c = 8.167 Å
α = 119.94°, β = 120.00°, γ = 90.00°
Sites, in units of the cell vectors:
S  0.762  0.271  0.524
S  0.745  0.735  0.490
S  0.255  0.265  0.510
S  0.246  0.271  0.008
S  0.754  0.729  0.992
S  0.762  0.271  0.008
S  0.238  0.729  0.992
S  0.238  0.729  0.476
Nd  0.500  0.500  0.500
Nd  0.500  0.500  0.000
Nd  0.000  0.500  0.500
Na  0.500  0.000  0.000
Na  0.000  0.000  0.500
Na  0.500  0.000  0.500
Na  0.000  0.000  0.000
Tm  0.000  0.500  0.000

***

[3]
## TaGe2Ir2 (PBE)

Data for a relaxed structure of TaGe2Ir2.

energy of formation from the pure elements = -0.106 eV per atom
total moment = 0.000 μB per atom

a = 7.367 Å, b = 7.367 Å, c = 2.856 Å
α = 90.00°, β = 90.00°, γ = 90.00°
Sites, in units of the cell vectors:
Ge  0.854  0.646  0.000
Ge  0.354  0.854  0.000
Ge  0.146  0.354  0.000
Ge  0.646  0.146  0.000
Ta  0.000  0.000  0.000
Ta  0.500  0.500  0.000
Ir  0.346  0.154  0.500
Ir  0.154  0.654  0.500
Ir  0.846  0.346  0.500
Ir  0.654  0.846  0.500

***

[4]
## BaSr2Cd4 (PBE)

Data for a relaxed structure of BaSr2Cd4.

energy of formation from the pure elements = -0.315 eV per atom
total moment = 0.000 μB per atom

a = 5.125 Å, b = 4.380 Å, c = 11.432 Å
α = 101.04°, β = 102.95°, γ = 90.00°
Sites, in units of the cell vectors:
Cd  0.068  0.568  0.136
Cd  0.357  0.357  0.713
Cd  0.932  0.432  0.864
Cd  0.643  0.643  0.287
Sr  0.190  0.190  0.381
Sr  0.810  0.810  0.619
Ba  0.500  0.000  0.000